## LaScSbTe2 (PBE-GGA)

Data for crystalline LaScSbTe2 at its relaxed geometry.

Values from the calculation:
E_form (uncorrected)	-0.734	eV/atom
M_tot	0.000	μB per cell
ρ	5.59	g cm⁻³

Cell lengths 5.5087, 5.5087, 5.4854 Å; angles 90.00, 90.00, 90.00 degrees
Fractional positions:
La 0.5000 0.5000 0.5000
Sc 0.0000 0.0000 0.0000
Te 0.0000 0.5000 0.0000
Te 0.5000 0.0000 0.0000
Sb 0.0000 0.0000 0.5000



## La2ThScSb4 (PBE-GGA)

Data for crystalline La2ThScSb4 at its relaxed geometry.

Values from the calculation:
E_form (uncorrected)	-1.091	eV/atom
M_tot	0.000	μB per cell
ρ	6.76	g cm⁻³

Cell lengths 4.4984, 7.7376, 7.8052 Å; angles 109.50, 90.00, 90.00 degrees
Fractional positions:
Sb 0.0000 0.7333 0.2295
Sb 0.5000 0.2562 0.2369
Sb 0.5000 0.7438 0.7631
Sb 0.0000 0.2667 0.7705
La 0.5000 0.0000 0.5000
La 0.0000 0.5000 0.5000
Th 0.0000 0.0000 0.0000
Sc 0.5000 0.5000 0.0000